# Cs2PaSiSe6 | Alexandria via LeMat-Bulk | PBE | optimized geometry
data_Cs2PaSiSe6
_chemical_formula_sum 'Cs2 Pa1 Si1 Se6'
_space_group_name_H-M_alt 'P -3 m 1'
_space_group_IT_number 164
_space_group_name_Hall '-P 3 2"'
_cell_length_a 7.8777
_cell_length_b 7.8777
_cell_length_c 6.4045
_cell_angle_alpha 90.00
_cell_angle_beta 90.00
_cell_angle_gamma 120.00
loop_
_atom_site_label
_atom_site_type_symbol
_atom_site_fract_x
_atom_site_fract_y
_atom_site_fract_z
_atom_site_occupancy
Cs1 Cs 0.3333 0.6667 0.2566 1
Pa1 Pa 0.0000 0.0000 0.0000 1
Si1 Si 0.0000 0.0000 0.5000 1
Se1 Se 0.1528 0.3056 0.7154 1
# ΔE_f (raw) = -0.9873 eV per atom



# Cs2SmPaSe4 | Alexandria via LeMat-Bulk | PBE | optimized geometry
data_Cs2SmPaSe4
_chemical_formula_sum 'Cs2 Sm1 Pa1 Se4'
_space_group_name_H-M_alt 'P 1 2/m 1'
_space_group_IT_number 10
_space_group_name_Hall '-P 2y'
_cell_length_a 7.448
_cell_length_b 4.280
_cell_length_c 8.805
_cell_angle_alpha 90.00
_cell_angle_beta 106.19
_cell_angle_gamma 90.00
loop_
_atom_site_label
_atom_site_type_symbol
_atom_site_fract_x
_atom_site_fract_y
_atom_site_fract_z
_atom_site_occupancy
Cs1 Cs 0.000 0.000 0.000 1
Cs2 Cs 0.500 0.500 0.000 1
Sm1 Sm 0.000 0.500 0.500 1
Pa1 Pa 0.500 0.000 0.500 1
Se1 Se 0.236 0.000 0.690 1
Se2 Se 0.275 0.500 0.310 1
# ΔE_f (raw) = -1.4933 eV per atom



# Cs3SmPa3Se8 | Alexandria via LeMat-Bulk | PBE | optimized geometry
data_Cs3SmPa3Se8
_chemical_formula_sum 'Cs9 Sm3 Pa9 Se24'
_space_group_name_H-M_alt 'R -3 m'
_space_group_IT_number 166
_space_group_name_Hall '-R 3 2"'
_cell_length_a 8.4092
_cell_length_b 8.4092
_cell_length_c 25.8459
_cell_angle_alpha 90.00
_cell_angle_beta 90.00
_cell_angle_gamma 120.00
loop_
_atom_site_label
_atom_site_type_symbol
_atom_site_fract_x
_atom_site_fract_y
_atom_site_fract_z
_atom_site_occupancy
Cs1 Cs 0.0000 0.5000 0.0000 1
Sm1 Sm 0.0000 0.0000 0.5000 1
Pa1 Pa 0.0000 0.5000 0.5000 1
Se1 Se 0.0000 0.0000 0.2299 1
Se2 Se 0.0069 0.5034 0.7706 1
# ΔE_f (raw) = -1.4392 eV per atom



# Cs3Sm3PaSe8 | Alexandria via LeMat-Bulk | PBE | optimized geometry
data_Cs3Sm3PaSe8
_chemical_formula_sum 'Cs6 Sm6 Pa2 Se16'
_space_group_name_H-M_alt 'C 1 2/m 1'
_space_group_IT_number 12
_space_group_name_Hall '-C 2y'
_cell_length_a 14.892
_cell_length_b 8.597
_cell_length_c 9.878
_cell_angle_alpha 90.00
_cell_angle_beta 120.21
_cell_angle_gamma 90.00
loop_
_atom_site_label
_atom_site_type_symbol
_atom_site_fract_x
_atom_site_fract_y
_atom_site_fract_z
_atom_site_occupancy
Cs1 Cs 0.000 0.000 0.000 1
Cs2 Cs 0.250 0.250 0.000 1
Sm1 Sm 0.000 0.500 0.500 1
Sm2 Sm 0.250 0.250 0.500 1
Pa1 Pa 0.000 0.000 0.500 1
Se1 Se 0.020 0.244 0.316 1
Se2 Se 0.224 0.000 0.684 1
Se3 Se 0.229 0.500 0.688 1
# ΔE_f (raw) = -1.6773 eV per atom



# Cs4Sm3PaSe8 | Alexandria via LeMat-Bulk | PBE | optimized geometry
data_Cs4Sm3PaSe8
_chemical_formula_sum 'Cs12 Sm9 Pa3 Se24'
_space_group_name_H-M_alt 'R -3 m'
_space_group_IT_number 166
_space_group_name_Hall '-R 3 2"'
_cell_length_a 8.6612
_cell_length_b 8.6612
_cell_length_c 25.2411
_cell_angle_alpha 90.00
_cell_angle_beta 90.00
_cell_angle_gamma 120.00
loop_
_atom_site_label
_atom_site_type_symbol
_atom_site_fract_x
_atom_site_fract_y
_atom_site_fract_z
_atom_site_occupancy
Cs1 Cs 0.0000 0.0000 0.0000 1
Cs2 Cs 0.0000 0.5000 0.0000 1
Sm1 Sm 0.0000 0.5000 0.5000 1
Pa1 Pa 0.0000 0.0000 0.5000 1
Se1 Se 0.0000 0.0000 0.2299 1
Se2 Se 0.0054 0.5027 0.2296 1
# ΔE_f (raw) = -1.6081 eV per atom



# Cs2Sm2PaSe6 | Alexandria via LeMat-Bulk | PBE | optimized geometry
data_Cs2Sm2PaSe6
_chemical_formula_sum 'Cs4 Sm4 Pa2 Se12'
_space_group_name_H-M_alt 'C 1 2/m 1'
_space_group_IT_number 12
_space_group_name_Hall '-C 2y'
_cell_length_a 7.400
_cell_length_b 12.780
_cell_length_c 8.961
_cell_angle_alpha 90.00
_cell_angle_beta 106.35
_cell_angle_gamma 90.00
loop_
_atom_site_label
_atom_site_type_symbol
_atom_site_fract_x
_atom_site_fract_y
_atom_site_fract_z
_atom_site_occupancy
Cs1 Cs 0.000 0.169 0.000 1
Sm1 Sm 0.000 0.333 0.500 1
Pa1 Pa 0.000 0.000 0.500 1
Se1 Se 0.225 0.163 0.684 1
Se2 Se 0.239 0.500 0.684 1
# ΔE_f (raw) = -1.6620 eV per atom



# CsSmPaSe4 | Alexandria via LeMat-Bulk | PBE | optimized geometry
data_CsSmPaSe4
_chemical_formula_sum 'Cs4 Sm4 Pa4 Se16'
_space_group_name_H-M_alt 'I m m a'
_space_group_IT_number 74
_space_group_name_Hall '-I 2b 2'
_cell_length_a 9.069
_cell_length_b 9.327
_cell_length_c 12.412
_cell_angle_alpha 90.00
_cell_angle_beta 90.00
_cell_angle_gamma 90.00
loop_
_atom_site_label
_atom_site_type_symbol
_atom_site_fract_x
_atom_site_fract_y
_atom_site_fract_z
_atom_site_occupancy
Cs1 Cs 0.000 0.250 0.132 1
Sm1 Sm 0.000 0.000 0.500 1
Pa1 Pa 0.250 0.250 0.750 1
Se1 Se 0.000 0.056 0.737 1
Se2 Se 0.204 0.250 0.521 1
# ΔE_f (raw) = -1.4701 eV per atom



# CsSm2PaSe5 | Alexandria via LeMat-Bulk | PBE | optimized geometry
data_CsSm2PaSe5
_chemical_formula_sum 'Cs2 Sm4 Pa2 Se10'
_space_group_name_H-M_alt 'I m m m'
_space_group_IT_number 71
_space_group_name_Hall '-I 2 2'
_cell_length_a 5.336
_cell_length_b 7.648
_cell_length_c 14.229
_cell_angle_alpha 90.00
_cell_angle_beta 90.00
_cell_angle_gamma 90.00
loop_
_atom_site_label
_atom_site_type_symbol
_atom_site_fract_x
_atom_site_fract_y
_atom_site_fract_z
_atom_site_occupancy
Cs1 Cs 0.000 0.000 0.000 1
Sm1 Sm 0.000 0.500 0.203 1
Pa1 Pa 0.000 0.000 0.500 1
Se1 Se 0.000 0.236 0.347 1
Se2 Se 0.000 0.500 0.000 1
# ΔE_f (raw) = -1.5312 eV per atom



# Cs2PaSnSe6 | Alexandria via LeMat-Bulk | PBE | optimized geometry
data_Cs2PaSnSe6
_chemical_formula_sum 'Cs8 Pa4 Sn4 Se24'
_space_group_name_H-M_alt 'F m -3 m'
_space_group_IT_number 225
_space_group_name_Hall '-F 4 2 3'
_cell_length_a 10.925
_cell_length_b 10.925
_cell_length_c 10.925
_cell_angle_alpha 90.00
_cell_angle_beta 90.00
_cell_angle_gamma 90.00
loop_
_atom_site_label
_atom_site_type_symbol
_atom_site_fract_x
_atom_site_fract_y
_atom_site_fract_z
_atom_site_occupancy
Cs1 Cs 0.250 0.250 0.250 1
Pa1 Pa 0.000 0.000 0.000 1
Sn1 Sn 0.000 0.000 0.500 1
Se1 Se 0.000 0.000 0.251 1
# ΔE_f (raw) = -0.8971 eV per atom



# Cs2PaSn2Se6 | Alexandria via LeMat-Bulk | PBE | optimized geometry
data_Cs2PaSn2Se6
_chemical_formula_sum 'Cs4 Pa2 Sn4 Se12'
_space_group_name_H-M_alt 'C 1 2/m 1'
_space_group_IT_number 12
_space_group_name_Hall '-C 2y'
_cell_length_a 13.425
_cell_length_b 7.910
_cell_length_c 8.962
_cell_angle_alpha 90.00
_cell_angle_beta 118.95
_cell_angle_gamma 90.00
loop_
_atom_site_label
_atom_site_type_symbol
_atom_site_fract_x
_atom_site_fract_y
_atom_site_fract_z
_atom_site_occupancy
Cs1 Cs 0.204 0.000 0.177 1
Pa1 Pa 0.000 0.000 0.500 1
Sn1 Sn 0.052 0.500 0.194 1
Se1 Se 0.050 0.237 0.762 1
Se2 Se 0.225 0.000 0.589 1
# ΔE_f (raw) = -0.9183 eV per atom



# CsTbPaSe4 | Alexandria via LeMat-Bulk | PBE | optimized geometry
data_CsTbPaSe4
_chemical_formula_sum 'Cs4 Tb4 Pa4 Se16'
_space_group_name_H-M_alt 'I m m a'
_space_group_IT_number 74
_space_group_name_Hall '-I 2b 2'
_cell_length_a 9.094
_cell_length_b 9.098
_cell_length_c 12.494
_cell_angle_alpha 90.00
_cell_angle_beta 90.00
_cell_angle_gamma 90.00
loop_
_atom_site_label
_atom_site_type_symbol
_atom_site_fract_x
_atom_site_fract_y
_atom_site_fract_z
_atom_site_occupancy
Cs1 Cs 0.000 0.250 0.123 1
Tb1 Tb 0.000 0.000 0.500 1
Pa1 Pa 0.250 0.250 0.750 1
Se1 Se 0.000 0.051 0.733 1
Se2 Se 0.201 0.250 0.522 1
# ΔE_f (raw) = -1.4608 eV per atom



# Cs2TbPaSe4 | Alexandria via LeMat-Bulk | PBE | optimized geometry
data_Cs2TbPaSe4
_chemical_formula_sum 'Cs2 Tb1 Pa1 Se4'
_space_group_name_H-M_alt 'P 1 2/m 1'
_space_group_IT_number 10
_space_group_name_Hall '-P 2y'
_cell_length_a 7.395
_cell_length_b 4.242
_cell_length_c 8.793
_cell_angle_alpha 90.00
_cell_angle_beta 106.05
_cell_angle_gamma 90.00
loop_
_atom_site_label
_atom_site_type_symbol
_atom_site_fract_x
_atom_site_fract_y
_atom_site_fract_z
_atom_site_occupancy
Cs1 Cs 0.000 0.000 0.000 1
Cs2 Cs 0.500 0.500 0.000 1
Tb1 Tb 0.000 0.500 0.500 1
Pa1 Pa 0.500 0.000 0.500 1
Se1 Se 0.231 0.000 0.688 1
Se2 Se 0.270 0.500 0.311 1
# ΔE_f (raw) = -1.4906 eV per atom



# Cs2Tb2PaSe6 | Alexandria via LeMat-Bulk | PBE | optimized geometry
data_Cs2Tb2PaSe6
_chemical_formula_sum 'Cs4 Tb4 Pa2 Se12'
_space_group_name_H-M_alt 'C 1 2/m 1'
_space_group_IT_number 12
_space_group_name_Hall '-C 2y'
_cell_length_a 7.307
_cell_length_b 12.644
_cell_length_c 8.948
_cell_angle_alpha 90.00
_cell_angle_beta 106.07
_cell_angle_gamma 90.00
loop_
_atom_site_label
_atom_site_type_symbol
_atom_site_fract_x
_atom_site_fract_y
_atom_site_fract_z
_atom_site_occupancy
Cs1 Cs 0.000 0.168 0.000 1
Tb1 Tb 0.000 0.333 0.500 1
Pa1 Pa 0.000 0.000 0.500 1
Se1 Se 0.227 0.165 0.683 1
Se2 Se 0.232 0.500 0.683 1
# ΔE_f (raw) = -1.6668 eV per atom



# Cs3Tb2PaSe6 | Alexandria via LeMat-Bulk | PBE | optimized geometry
data_Cs3Tb2PaSe6
_chemical_formula_sum 'Cs6 Tb4 Pa2 Se12'
_space_group_name_H-M_alt 'C 1 2/m 1'
_space_group_IT_number 12
_space_group_name_Hall '-C 2y'
_cell_length_a 7.398
_cell_length_b 12.813
_cell_length_c 8.768
_cell_angle_alpha 90.00
_cell_angle_beta 106.32
_cell_angle_gamma 90.00
loop_
_atom_site_label
_atom_site_type_symbol
_atom_site_fract_x
_atom_site_fract_y
_atom_site_fract_z
_atom_site_occupancy
Cs1 Cs 0.000 0.000 0.000 1
Cs2 Cs 0.000 0.332 0.000 1
Tb1 Tb 0.000 0.167 0.500 1
Pa1 Pa 0.000 0.500 0.500 1
Se1 Se 0.228 0.334 0.687 1
Se2 Se 0.231 0.000 0.688 1
# ΔE_f (raw) = -1.5665 eV per atom



# Cs2PaTeSe6 | Alexandria via LeMat-Bulk | PBE | optimized geometry
data_Cs2PaTeSe6
_chemical_formula_sum 'Cs2 Pa1 Te1 Se6'
_space_group_name_H-M_alt 'P -3 m 1'
_space_group_IT_number 164
_space_group_name_Hall '-P 3 2"'
_cell_length_a 7.7975
_cell_length_b 7.7975
_cell_length_c 6.9635
_cell_angle_alpha 90.00
_cell_angle_beta 90.00
_cell_angle_gamma 120.00
loop_
_atom_site_label
_atom_site_type_symbol
_atom_site_fract_x
_atom_site_fract_y
_atom_site_fract_z
_atom_site_occupancy
Cs1 Cs 0.3333 0.6667 0.2922 1
Pa1 Pa 0.0000 0.0000 0.0000 1
Te1 Te 0.0000 0.0000 0.5000 1
Se1 Se 0.1620 0.3240 0.7496 1
# ΔE_f (raw) = -0.8841 eV per atom



# CsPaTeSe6 | Alexandria via LeMat-Bulk | PBE | optimized geometry
data_CsPaTeSe6
_chemical_formula_sum 'Cs4 Pa4 Te4 Se24'
_space_group_name_H-M_alt 'I m m a'
_space_group_IT_number 74
_space_group_name_Hall '-I 2b 2'
_cell_length_a 9.463
_cell_length_b 10.255
_cell_length_c 12.765
_cell_angle_alpha 90.00
_cell_angle_beta 90.00
_cell_angle_gamma 90.00
loop_
_atom_site_label
_atom_site_type_symbol
_atom_site_fract_x
_atom_site_fract_y
_atom_site_fract_z
_atom_site_occupancy
Cs1 Cs 0.000 0.250 0.158 1
Pa1 Pa 0.250 0.250 0.750 1
Te1 Te 0.000 0.000 0.500 1
Se1 Se 0.000 0.250 0.593 1
Se2 Se 0.000 0.250 0.865 1
Se3 Se 0.220 0.010 0.344 1
# ΔE_f (raw) = -0.7393 eV per atom



# Cs3PaTe2Se9 | Alexandria via LeMat-Bulk | PBE | optimized geometry
data_Cs3PaTe2Se9
_chemical_formula_sum 'Cs3 Pa1 Te2 Se9'
_space_group_name_H-M_alt 'P -3 m 1'
_space_group_IT_number 164
_space_group_name_Hall '-P 3 2"'
_cell_length_a 7.8216
_cell_length_b 7.8216
_cell_length_c 9.5769
_cell_angle_alpha 90.00
_cell_angle_beta 90.00
_cell_angle_gamma 120.00
loop_
_atom_site_label
_atom_site_type_symbol
_atom_site_fract_x
_atom_site_fract_y
_atom_site_fract_z
_atom_site_occupancy
Cs1 Cs 0.0000 0.0000 0.0000 1
Cs2 Cs 0.3333 0.6667 0.6717 1
Pa1 Pa 0.0000 0.0000 0.5000 1
Te1 Te 0.3333 0.6667 0.1618 1
Se1 Se 0.0000 0.5000 0.0000 1
Se2 Se 0.1654 0.3308 0.3358 1
# ΔE_f (raw) = -0.6092 eV per atom



# CsPaTeSe | Alexandria via LeMat-Bulk | PBE | optimized geometry
data_CsPaTeSe
_chemical_formula_sum 'Cs3 Pa3 Te3 Se3'
_space_group_name_H-M_alt 'R 3 m'
_space_group_IT_number 160
_space_group_name_Hall 'R 3 -2"'
_cell_length_a 4.3103
_cell_length_b 4.3103
_cell_length_c 26.9663
_cell_angle_alpha 90.00
_cell_angle_beta 90.00
_cell_angle_gamma 120.00
loop_
_atom_site_label
_atom_site_type_symbol
_atom_site_fract_x
_atom_site_fract_y
_atom_site_fract_z
_atom_site_occupancy
Cs1 Cs 0.0000 0.0000 0.0000 1
Pa1 Pa 0.0000 0.0000 0.1789 1
Te1 Te 0.0000 0.0000 0.7748 1
Se1 Se 0.0000 0.0000 0.5711 1
# ΔE_f (raw) = -1.0778 eV per atom



# Cs3Th2PaSe6 | Alexandria via LeMat-Bulk | PBE | optimized geometry
data_Cs3Th2PaSe6
_chemical_formula_sum 'Cs6 Th4 Pa2 Se12'
_space_group_name_H-M_alt 'C 1 2/m 1'
_space_group_IT_number 12
_space_group_name_Hall '-C 2y'
_cell_length_a 7.395
_cell_length_b 12.810
_cell_length_c 8.902
_cell_angle_alpha 90.00
_cell_angle_beta 106.06
_cell_angle_gamma 90.00
loop_
_atom_site_label
_atom_site_type_symbol
_atom_site_fract_x
_atom_site_fract_y
_atom_site_fract_z
_atom_site_occupancy
Cs1 Cs 0.000 0.000 0.000 1
Cs2 Cs 0.000 0.331 0.000 1
Th1 Th 0.000 0.166 0.500 1
Pa1 Pa 0.000 0.500 0.500 1
Se1 Se 0.229 0.336 0.694 1
Se2 Se 0.237 0.000 0.695 1
# ΔE_f (raw) = -1.4344 eV per atom



# Cs2PaTl3Se6 | Alexandria via LeMat-Bulk | PBE | optimized geometry
data_Cs2PaTl3Se6
_chemical_formula_sum 'Cs4 Pa2 Tl6 Se12'
_space_group_name_H-M_alt 'C 1 2/m 1'
_space_group_IT_number 12
_space_group_name_Hall '-C 2y'
_cell_length_a 8.306
_cell_length_b 16.177
_cell_length_c 7.460
_cell_angle_alpha 90.00
_cell_angle_beta 118.42
_cell_angle_gamma 90.00
loop_
_atom_site_label
_atom_site_type_symbol
_atom_site_fract_x
_atom_site_fract_y
_atom_site_fract_z
_atom_site_occupancy
Cs1 Cs 0.000 0.180 0.000 1
Pa1 Pa 0.000 0.500 0.000 1
Tl1 Tl 0.000 0.000 0.500 1
Tl2 Tl 0.000 0.368 0.500 1
Se1 Se 0.213 0.500 0.801 1
Se2 Se 0.233 0.376 0.261 1
# ΔE_f (raw) = -0.8609 eV per atom



# CsPaTlSe3 | Alexandria via LeMat-Bulk | PBE | optimized geometry
data_CsPaTlSe3
_chemical_formula_sum 'Cs4 Pa4 Tl4 Se12'
_space_group_name_H-M_alt 'C 1 2/c 1'
_space_group_IT_number 15
_space_group_name_Hall '-C 2yc'
_cell_length_a 8.028
_cell_length_b 16.085
_cell_length_c 7.577
_cell_angle_alpha 90.00
_cell_angle_beta 102.07
_cell_angle_gamma 90.00
loop_
_atom_site_label
_atom_site_type_symbol
_atom_site_fract_x
_atom_site_fract_y
_atom_site_fract_z
_atom_site_occupancy
Cs1 Cs 0.000 0.246 0.250 1
Pa1 Pa 0.000 0.447 0.750 1
Tl1 Tl 0.000 0.080 0.750 1
Se1 Se 0.000 0.280 0.750 1
Se2 Se 0.224 0.457 0.504 1
# ΔE_f (raw) = -1.0658 eV per atom